First-principles (SCAN) data for a crystal of BaC relaxed with PBEsol, as listed in the Alexandria database.

a b c (Å): 8.7274 8.7274 8.7274
angles (deg): 23.48 23.48 23.48
Last column: nearest neighbours and their distance in Å.
Fractional coordinates of all 4 atoms:
Ba 0.0758 0.0758 0.0758  6 C 2.81-2.82
Ba 0.9242 0.9242 0.9242  6 C 2.81-2.82
C 0.3334 0.3334 0.3334  3 C 2.05
C 0.6666 0.6666 0.6666  3 C 2.05

Results
Space group: R-3m (166)
Crystal system: trigonal
Energy: -94.50 eV per cell
Calculated density: 5.352 g cm⁻³